Density functional theory data (PBE) for a relaxed structure of GdPPd.

```
GdPPd
1.0
4.345 0.000 0.000
0.000 9.906 0.000
-0.018 0.000 5.681
Gd P Pd
4 4 4
Direct
0.000 0.150 0.000 Gd
0.000 0.850 0.500 Gd
0.500 0.350 0.500 Gd
0.500 0.650 0.000 Gd
0.001 0.146 0.494 P
0.001 0.854 0.994 P
0.501 0.354 0.994 P
0.501 0.646 0.494 P
0.000 0.441 0.895 Pd
0.000 0.559 0.395 Pd
0.500 0.059 0.395 Pd
0.500 0.941 0.895 Pd
```

Values from the calculation:
Its space group is Cc. As for the raw total energy: -6.188 eV per atom. Its density is 8.00 Mg/m³.